[1]
The following is a PBE-GGA calculation of a relaxed ZnBP2Cl crystal, from Alexandria.

Cell: 3.820 3.820 7.108 Å, 90.00 90.00 90.00°
Positions (direct):
P 0.000 0.500 0.000
P 0.500 0.000 0.000
Zn 0.500 0.500 0.500
B 0.000 0.000 0.000
Cl 0.000 0.000 0.500

Properties
Space group: P4/mmm
ρ (g cm⁻³): 2.8
ΔE_f (raw) (eV/f.u.): 3.25

[2]
The following is a PBE-GGA calculation of a relaxed ZnBP2Cl crystal, from Alexandria.

Cell: 4.589 5.140 4.589 Å, 90.00 90.00 90.00°
Each line ends with the local moment (μB).
Positions (direct):
P 0.000 0.000 0.500  0.25
P 0.500 0.000 0.000  0.23
Zn 0.000 0.000 0.000  0.00
B 0.500 0.500 0.500  -0.03
Cl 0.000 0.500 0.000  0.11

Properties
Space group: P4/mmm
ρ (g cm⁻³): 2.7
ΔE_f (raw) (eV/f.u.): 7.40

[3]
The following is a PBE-GGA calculation of a relaxed ZrBP2Cl crystal, from Alexandria.

Cell: 4.157 4.157 4.513 Å, 90.00 90.00 90.00°
Positions (direct):
P 0.000 0.500 0.000
P 0.500 0.000 0.000
B 0.000 0.000 0.000
Zr 0.500 0.500 0.500
Cl 0.000 0.000 0.500

Properties
Space group: P4/mmm
ρ (g cm⁻³): 4.2
ΔE_f (raw) (eV/f.u.): 1.43

[4]
The following is a PBE-GGA calculation of a relaxed ZrBP2Cl crystal, from Alexandria.

Cell: 5.058 5.058 5.037 Å, 90.00 90.00 90.00°
Positions (direct):
P 0.000 0.500 0.000
P 0.500 0.000 0.000
B 0.500 0.500 0.500
Zr 0.000 0.000 0.000
Cl 0.000 0.000 0.500

Properties
Space group: P4/mmm
ρ (g cm⁻³): 2.6
ΔE_f (raw) (eV/f.u.): 4.24

[5]
The following is a PBE-GGA calculation of a relaxed Pa6BCl15 crystal, from Alexandria.

Cell: 9.376 9.376 9.376 Å, 109.47 109.47 109.47°
Each line ends with the local moment (μB).
Positions (direct):
Pa 0.765 0.000 0.765  0.62
Pa 0.765 0.765 0.000  0.62
Pa 0.000 0.235 0.235  0.62
Pa 0.235 0.000 0.235  0.62
Pa 0.235 0.235 0.000  0.62
Pa 0.000 0.765 0.765  0.62
B 0.000 0.000 0.000  -0.02
Cl 0.750 0.000 0.250  -0.01
Cl 0.750 0.250 0.000  -0.01
Cl 0.500 0.750 0.750  -0.01
Cl 0.250 0.500 0.250  -0.01
Cl 0.250 0.250 0.500  -0.01
Cl 0.500 0.250 0.250  -0.01
Cl 0.750 0.500 0.750  -0.01
Cl 0.250 0.750 0.000  -0.01
Cl 0.000 0.750 0.250  -0.01
Cl 0.250 0.000 0.750  -0.01
Cl 0.750 0.750 0.500  -0.01
Cl 0.000 0.250 0.750  -0.01
Cl 0.500 0.000 0.500  -0.01
Cl 0.500 0.500 0.000  -0.01
Cl 0.000 0.500 0.500  -0.01

Properties
Space group: Im-3m
ρ (g cm⁻³): 5.0
ΔE_f (raw) (eV/f.u.): -35.38

[6]
The following is a PBE-GGA calculation of a relaxed PaB2Cl8 crystal, from Alexandria.

Cell: 7.579 6.970 6.970 Å, 90.55 94.06 94.06°
Each line ends with the local moment (μB).
Positions (direct):
Pa 0.000 0.000 0.000  0.88
B 0.763 0.798 0.798  0.08
B 0.237 0.202 0.202  0.08
Cl 0.287 0.272 0.955  0.01
Cl 0.713 0.045 0.728  0.01
Cl 0.187 0.797 0.797  -0.02
Cl 0.813 0.203 0.203  -0.02
Cl 0.287 0.955 0.272  0.01
Cl 0.713 0.728 0.045  0.01
Cl 0.745 0.618 0.618  0.02
Cl 0.255 0.382 0.382  0.02

Properties
Space group: C2/m
ρ (g cm⁻³): 2.4
ΔE_f (raw) (eV/f.u.): -10.85

[7]
The following is a PBE-GGA calculation of a relaxed BPbCl2 crystal, from Alexandria.

Cell: 8.839 8.839 8.839 Å, 23.24 23.24 23.24°
Positions (direct):
Pb 0.000 0.000 0.000
B 0.500 0.500 0.500
Cl 0.889 0.889 0.889
Cl 0.111 0.111 0.111

Properties
Space group: R-3m
ρ (g cm⁻³): 5.1
ΔE_f (raw) (eV/f.u.): 1.84

[8]
The following is a PBE-GGA calculation of a relaxed B2PbCl8 crystal, from Alexandria.

Cell: 9.544 9.984 10.184 Å, 57.37 62.06 61.45°
Positions (direct):
B 0.856 0.867 0.931
B 0.346 0.367 0.431
B 0.654 0.633 0.569
B 0.144 0.133 0.069
Pb 0.033 0.750 0.250
Pb 0.967 0.250 0.750
Cl 0.467 0.717 0.514
Cl 0.092 0.989 0.291
Cl 0.782 0.998 0.051
Cl 0.271 0.199 0.477
Cl 0.218 0.002 0.949
Cl 0.947 0.301 0.023
Cl 0.729 0.801 0.523
Cl 0.169 0.498 0.551
Cl 0.053 0.699 0.977
Cl 0.699 0.783 0.986
Cl 0.628 0.489 0.791
Cl 0.372 0.511 0.209
Cl 0.301 0.217 0.014
Cl 0.831 0.502 0.449
Cl 0.533 0.283 0.486
Cl 0.908 0.011 0.709

Properties
Space group: C2/c
ρ (g cm⁻³): 2.5
ΔE_f (raw) (eV/f.u.): -10.87

[9]
The following is a PBE-GGA calculation of a relaxed BPbCl2 crystal, from Alexandria.

Cell: 5.017 5.017 5.017 Å, 60.00 60.00 60.00°
Positions (direct):
Pb 0.500 0.500 0.500
B 0.000 0.000 0.000
Cl 0.250 0.250 0.250
Cl 0.750 0.750 0.750

Properties
Space group: Fm-3m
ρ (g cm⁻³): 5.4
ΔE_f (raw) (eV/f.u.): 2.15

[10]
The following is a PBE-GGA calculation of a relaxed BPb3Cl crystal, from Alexandria.

Cell: 5.188 5.188 5.188 Å, 90.00 90.00 90.00°
Positions (direct):
Pb 0.000 0.500 0.000
Pb 0.000 0.000 0.500
Pb 0.500 0.000 0.000
B 0.000 0.000 0.000
Cl 0.500 0.500 0.500

Properties
Space group: Pm-3m
ρ (g cm⁻³): 7.9
ΔE_f (raw) (eV/f.u.): 2.20

[11]
The following is a PBE-GGA calculation of a relaxed BPbCl2 crystal, from Alexandria.

Cell: 6.575 6.575 6.579 Å, 60.02 60.02 90.00°
Positions (direct):
Pb 0.000 0.000 0.000
Pb 0.750 0.250 0.500
B 0.500 0.500 0.000
B 0.250 0.750 0.500
Cl 0.375 0.125 0.250
Cl 0.375 0.625 0.250
Cl 0.375 0.625 0.750
Cl 0.875 0.625 0.750

Properties
Space group: Fd-3m
ρ (g cm⁻³): 4.8
ΔE_f (raw) (eV/f.u.): 1.89

[12]
The following is a PBE-GGA calculation of a relaxed B2PbCl crystal, from Alexandria.

Cell: 4.604 4.604 4.604 Å, 60.00 60.00 60.00°
Positions (direct):
Pb 0.500 0.500 0.500
B 0.250 0.250 0.250
B 0.750 0.750 0.750
Cl 0.000 0.000 0.000

Properties
Space group: Fm-3m
ρ (g cm⁻³): 6.4
ΔE_f (raw) (eV/f.u.): 7.09